Record 1
A plane-wave DFT calculation with GGA-PBEsol was carried out for an optimized crystal structure of TcPbSe.

Lattice parameters (Å, degrees): 4.410 4.410 3.452 90.00 90.00 120.00
Sites, in units of the cell vectors:
Tc 0.000 0.000 0.000
Pb 0.667 0.333 0.500
Se 0.333 0.667 0.000

Summary:
Space-group type: P-6m2, No. 187
ΔE_f (raw), eV per atom: 0.366



Record 2
A plane-wave DFT calculation with GGA-PBEsol was carried out for an optimized crystal structure of Mg2B2Pd.

Lattice parameters (Å, degrees): 5.739 5.739 3.634 90.00 90.00 90.00
Sites, in units of the cell vectors:
Mg 0.183 0.317 0.000
Mg 0.317 0.817 0.000
Mg 0.683 0.183 0.000
Mg 0.817 0.683 0.000
B 0.101 0.601 0.500
B 0.399 0.101 0.500
B 0.601 0.899 0.500
B 0.899 0.399 0.500
Pd 0.000 0.000 0.500
Pd 0.500 0.500 0.500

Summary:
Space-group type: P4/mbm, No. 127
Energy of formation, eV per atom: -0.17



Computed values of magnetic moment (unit: μB/f.u.) for the preceding records, in sequence: 0.00, 0.00.